VASP calculation (PBE) on a relaxed SmHo2Co crystal.

Cell and atoms, written as POSCAR:
```
SmHo2Co
1.0
-3.651 0.916 0.203
-2.224 -0.443 -3.010
-3.901 -8.177 1.725
Ho Co Sm
2 1 1
Cartesian
-3.579 -6.794 1.284
-2.286 -1.248 -0.487
-3.919 0.303 -1.868
-4.879 -3.816 -0.553
```

Output
* space group: R3m (160)


VASP calculation (PBE) on a relaxed Sm2HoCo crystal.

Cell and atoms, written as POSCAR:
```
Sm2HoCo
1.0
3.615 0.000 0.000
1.807 3.130 0.000
1.807 1.043 10.409
Co Sm Ho
1 2 1
Cartesian
3.615 2.087 5.205
5.422 3.130 3.502
1.807 1.043 6.908
0.000 0.000 0.000
```

Output
* space group: R-3m (166)


VASP calculation (PBE) on a relaxed SmHo2Co2 crystal.

Cell and atoms, written as POSCAR:
```
SmHo2Co2
1.0
-2.558 -2.626 1.392
2.472 -2.875 -0.882
1.815 2.010 7.126
Co Ho Sm
2 2 1
Cartesian
1.246 0.234 2.731
3.040 -1.099 3.513
0.889 -2.576 2.299
0.839 -0.915 5.338
0.000 0.000 0.000
```

Output
* space group: Cmmm (65)


no.,total moment (μB per formula unit),distance to the lowest polymorph of the same formula (eV/f.u.),final energy (eV/atom)
1,0.0,0.52,-5.27
2,0.0,1.35,-5.06
3,0.3,0.00,-5.76